Record 1
## HoPuHg4 (PBE)

Data for an optimized crystal structure of HoPuHg4.

Calculated values
energy above the lowest structure with this stoichiometry = 0.1870 eV/atom
energy relative to the elements = -0.079 eV per atom

Cell lengths 8.4391, 8.4391, 8.4391 Å; angles 90.00, 90.00, 90.00 degrees
With the nearest neighbours (Å) after each atom.
Space group F-43m (No. 216)
Asymmetric unit:
Ho 0.0000 0.0000 0.0000 (multiplicity 4)  12 Hg 3.50, 4 Pu 3.65
Pu 0.2500 0.2500 0.2500 (multiplicity 4)  12 Hg 3.50, 4 Ho 3.65
Hg 0.1251 0.1251 0.6251 (multiplicity 16)  6 Hg 2.98-2.99

Record 2
## TlIn2S (PBE)

Data for an optimized crystal structure of TlIn2S.

Calculated values
energy above the lowest structure with this stoichiometry = 0.0909 eV/atom
raw formation energy = -12 kJ/mol of atoms

Cell lengths 3.6837, 3.6837, 7.6897 Å; angles 90.00, 90.00, 90.00 degrees
With the nearest neighbours (Å) after each atom.
Space group P4/mmm (No. 123)
Asymmetric unit:
Tl 0.0000 0.0000 0.0000 (multiplicity 1)  8 In 3.46, 4 Tl 3.68, 2 S 3.84
In 0.5000 0.5000 0.2970 (multiplicity 2)  4 S 3.04, 1 In 3.12
S 0.0000 0.0000 0.5000 (multiplicity 1)  8 In 3.04

Record 3
## ScNi2Te (PBE)

Data for an optimized crystal structure of ScNi2Te.

Calculated values
raw formation energy = -41 kJ/mol of atoms

Cell lengths 9.1398, 4.0980, 7.7811 Å; angles 90.00, 108.79, 90.00 degrees
With the nearest neighbours (Å) after each atom.
Space group Cm (No. 8)
Asymmetric unit:
Sc 0.0000 0.0000 0.0000 (multiplicity 2)  5 Ni 2.68-2.92, 5 Te 2.88-2.98
Sc 0.0278 0.0000 0.5550 (multiplicity 2)  1 Ni 2.56
Ni 0.2568 0.5000 0.5847 (multiplicity 2)  4 Ni 2.43-2.64, 2 Te 2.50-2.52, 1 Sc 2.56
Ni 0.2792 0.0000 0.3805 (multiplicity 2)  3 Ni 2.52-2.64, 1 Te 2.72
Ni 0.2973 0.0000 0.0169 (multiplicity 2)  3 Te 2.49-2.52, 1 Ni 2.66, 1 Sc 2.68
Ni 0.3840 0.0000 0.7220 (multiplicity 2)  4 Ni 2.43-2.66, 1 Te 2.47
Te 0.0410 0.5000 0.2852 (multiplicity 2)  3 Ni 2.52-2.72
Te 0.1679 0.5000 0.8574 (multiplicity 2)  4 Ni 2.47-2.50

Record 4
## Ac8Te3AsPb4 (PBE)

Data for an optimized crystal structure of Ac8Te3AsPb4.

Calculated values
raw formation energy = -98 kJ/mol of atoms

Cell lengths 9.5555, 9.5555, 23.6830 Å; angles 90.00, 90.00, 120.00 degrees
With the nearest neighbours (Å) after each atom.
Space group R-3m (No. 166, hexagonal axes)
Asymmetric unit:
Ac 0.0000 0.0000 0.2469 (multiplicity 6)  3 Pb 3.35, 3 Te 3.44
Ac 0.0128 0.5064 0.7488 (multiplicity 18)  1 As 3.29, 3 Pb 3.37-3.50, 2 Te 3.42
Te 0.0000 0.5000 0.0000 (multiplicity 9)  6 Ac 3.42-3.44
As 0.0000 0.0000 0.0000 (multiplicity 3)  6 Ac 3.29
Pb 0.0000 0.0000 0.5000 (multiplicity 3)  6 Ac 3.50
Pb 0.0000 0.5000 0.5000 (multiplicity 9)  6 Ac 3.35-3.37

Record 5
## Pm5NdMg6 (PBE)

Data for an optimized crystal structure of Pm5NdMg6.

Calculated values
energy relative to the elements = -0.109 eV per atom

Cell lengths 5.4674, 16.4020, 7.7485 Å; angles 90.00, 90.00, 90.00 degrees
With the nearest neighbours (Å) after each atom.
Space group Cmmm (No. 65)
Asymmetric unit:
Pm 0.0000 0.0000 0.0000 (multiplicity 2)  8 Mg 3.35
Pm 0.0000 0.3330 0.5000 (multiplicity 4)  8 Mg 3.35-3.36
Pm 0.0000 0.3337 0.0000 (multiplicity 4)  8 Mg 3.34
Nd 0.0000 0.0000 0.5000 (multiplicity 2)  8 Mg 3.35-3.36
Mg 0.0000 0.1672 0.2486 (multiplicity 8)  7 Pm 3.34-3.36, 1 Nd 3.36
Mg 0.0000 0.5000 0.2494 (multiplicity 4)  6 Pm 3.34-3.36, 2 Nd 3.35

Record 6
## SrLiTi2 (PBE)

Data for an optimized crystal structure of SrLiTi2.

Calculated values
energy above the lowest structure with this stoichiometry = 0.0000 eV/atom
energy relative to the elements = 0.771 eV per atom

Cell lengths 4.0881, 4.0881, 22.9141 Å; angles 90.00, 90.00, 90.00 degrees
With the nearest neighbours (Å) after each atom.
Space group I-42d (No. 122)
Asymmetric unit:
Sr 0.0000 0.0000 0.0000 (multiplicity 4)  4 Li 2.89, 4 Ti 3.23
Li 0.0000 0.0000 0.5000 (multiplicity 4)  4 Sr 2.89, 4 Ti 3.18
Ti 0.2311 0.2500 0.6250 (multiplicity 8)  4 Ti 2.78-3.00

Record 7
## HgRh2N2 (PBE)

Data for an optimized crystal structure of HgRh2N2.

Calculated values
energy above the lowest structure with this stoichiometry = 0.0000 eV/atom
raw formation energy = 72 kJ/mol of atoms

Cell lengths 3.5272, 3.5272, 11.0725 Å; angles 90.00, 90.00, 90.00 degrees
With the nearest neighbours (Å) after each atom.
Space group I4/mmm (No. 139)
Asymmetric unit:
Hg 0.0000 0.0000 0.0000 (multiplicity 2)  8 Rh 3.02, 8 N 3.28
Rh 0.0000 0.0000 0.3457 (multiplicity 4)  4 N 2.06
N 0.0000 0.5000 0.2500 (multiplicity 4)  4 Rh 2.06

Record 8
## Hf2NbOs (PBE)

Data for an optimized crystal structure of Hf2NbOs.

Calculated values
energy relative to the elements = -0.312 eV per atom

Cell lengths 3.2437, 3.2437, 7.0907 Å; angles 90.00, 90.00, 90.00 degrees
With the nearest neighbours (Å) after each atom.
Space group P4/mmm (No. 123)
Asymmetric unit:
Hf 0.0000 0.0000 0.2294 (multiplicity 2)  4 Os 2.81, 4 Nb 2.99
Nb 0.5000 0.5000 0.5000 (multiplicity 1)  8 Hf 2.99, 4 Nb 3.24
Os 0.5000 0.5000 0.0000 (multiplicity 1)  8 Hf 2.81

Record 9
## LiTbAgSb (PBE)

Data for an optimized crystal structure of LiTbAgSb.

Calculated values
raw formation energy = -52 kJ/mol of atoms

Cell lengths 7.1406, 7.1406, 7.1406 Å; angles 90.00, 90.00, 90.00 degrees
With the nearest neighbours (Å) after each atom.
Space group F-43m (No. 216)
Asymmetric unit:
Li 0.0000 0.0000 0.0000 (multiplicity 4)  4 Sb 3.09, 4 Ag 3.09
Tb 0.0000 0.0000 0.5000 (multiplicity 4)  4 Ag 3.09, 4 Sb 3.09
Ag 0.2500 0.2500 0.7500 (multiplicity 4)  4 Li 3.09, 4 Tb 3.09
Sb 0.2500 0.2500 0.2500 (multiplicity 4)  4 Tb 3.09, 4 Li 3.09

Record 10
## Ti2GaCl6 (PBE)

Data for an optimized crystal structure of Ti2GaCl6.

Calculated values
energy above the lowest structure with this stoichiometry = 0.0000 eV/atom
raw formation energy = -127 kJ/mol of atoms

Cell lengths 18.4848, 3.5892, 6.9180 Å; angles 90.00, 93.77, 90.00 degrees
With the nearest neighbours (Å) after each atom.
Space group C2/m (No. 12)
Asymmetric unit:
Ti 0.1762 0.0000 0.0610 (multiplicity 4)  6 Cl 2.40-2.52
Ga 0.0000 0.5000 0.5000 (multiplicity 2)  4 Cl 2.90
Cl 0.1015 0.5000 0.9044 (multiplicity 4)  2 Ti 2.47
Cl 0.1023 0.0000 0.3343 (multiplicity 4)  1 Ti 2.40
Cl 0.2482 0.0000 0.7692 (multiplicity 4)  3 Ti 2.49-2.52

Record 11
## Rb4Ho3ScO8 (PBE)

Data for an optimized crystal structure of Rb4Ho3ScO8.

Calculated values
raw formation energy = -259 kJ/mol of atoms

Cell lengths 6.8840, 6.8840, 19.5952 Å; angles 90.00, 90.00, 120.00 degrees
With the nearest neighbours (Å) after each atom.
Space group R-3m (No. 166, hexagonal axes)
Asymmetric unit:
Rb 0.0000 0.0000 0.0000 (multiplicity 3)  6 O 2.97
Rb 0.0000 0.5000 0.0000 (multiplicity 9)  6 O 2.90-2.91
Ho 0.0000 0.5000 0.5000 (multiplicity 9)  6 O 2.29-2.31
Sc 0.0000 0.0000 0.5000 (multiplicity 3)  6 O 2.23
O 0.0000 0.0000 0.2251 (multiplicity 6)  3 Ho 2.29
O 0.0108 0.5054 0.2240 (multiplicity 18)  1 Sc 2.23, 2 Ho 2.31

Record 12
## Ce2H2Cl (PBE)

Data for an optimized crystal structure of Ce2H2Cl.

Cell lengths 3.4719, 3.4719, 13.9356 Å; angles 90.00, 90.00, 90.00 degrees
With the nearest neighbours (Å) after each atom.
Space group I4/mmm (No. 139)
Asymmetric unit:
Ce 0.0000 0.0000 0.1468 (multiplicity 4)  4 H 2.25
H 0.0000 0.5000 0.2500 (multiplicity 4)  4 Ce 2.25, 4 H 2.46
Cl 0.0000 0.0000 0.5000 (multiplicity 2)  8 Ce 3.20, 4 Cl 3.47

| no. | calculated total energy (eV/atom) | D(E_F) (states/eV/f.u.) |
| --- | --- | --- |
| 1 | -3.432 | 14.2 |
| 2 | -3.116 | 1.4 |
| 3 | -5.681 | 3.2 |
| 4 | -4.873 | 9.0 |
| 5 | -3.283 | 13.5 |
| 6 | -4.075 | 5.8 |
| 7 | -5.588 | 1.9 |
| 8 | -10.613 | 4.2 |
| 9 | -3.918 | 1.5 |
| 10 | -4.642 | 2.4 |
| 11 | -6.660 | 0.0 |
| 12 | -4.875 | 8.5 |